# 1
The following is a DFT calculation (PBE-GGA) of a geometry-optimized Sm2CoSn structure.

Cell and atoms, written as extended XYZ:
```
4
Lattice="3.459 0.000 0.000 0.000 3.459 0.000 0.000 0.000 8.018" Properties=species:S:1:pos:R:3 pbc="T T T"
Sn 1.729 1.729 4.009
Sm 0.000 0.000 6.325
Sm 0.000 0.000 1.694
Co 1.729 1.729 0.000
```

Output
Relative energy among the computed polymorphs: 0 meV/atom
Magnetic moment: 0.4 μB/f.u.
SG: P4/mmm, No. 123
E_tot: -5.47 eV per atom
ΔE_f: -336 meV per atom

***

# 2
The following is a DFT calculation (PBE-GGA) of a geometry-optimized RbP2WS structure.

Cell and atoms, written as extended XYZ:
```
5
Lattice="-3.297 1.445 3.701 3.560 -1.060 3.585 1.806 4.957 -0.327" Properties=species:S:1:pos:R:3 pbc="T T T"
Rb 0.000 0.000 0.000
W 1.035 2.671 3.479
P -1.648 0.723 1.850
P 1.780 -0.530 1.793
S 0.903 2.478 -0.164
```

Output
Relative energy among the computed polymorphs: 2811 meV/atom
Energy relative to the elements, uncorrected: 264 kJ per mole of atoms
Magnetic moment: 1.9 μB/f.u.
SG: P4/mmm, No. 123
E_tot: -3.03 eV per atom

***

# 3
The following is a DFT calculation (PBE-GGA) of a geometry-optimized La3PSe6 structure.

Cell and atoms, written as extended XYZ:
```
20
Lattice="7.599 0.000 0.000 0.000 9.126 0.069 0.000 -1.969 8.912" Properties=species:S:1:pos:R:3 pbc="T T T"
Se 1.448 4.957 5.747
Se 1.448 2.661 2.866
Se 5.249 8.750 0.369
Se 5.247 2.200 3.233
Se 1.449 -1.593 8.612
Se 5.250 5.127 0.896
Se 0.928 6.743 1.968
Se 1.450 2.031 8.085
Se 5.250 7.428 3.783
Se 4.728 0.414 7.012
Se 1.450 -0.271 5.197
Se 5.247 4.496 6.114
La 3.573 6.920 6.426
La 6.905 4.747 3.559
La 7.372 4.719 8.179
La 3.105 2.410 5.422
La 7.372 0.238 2.555
La 3.573 2.438 0.802
P 4.261 7.051 1.723
P 0.462 0.106 7.258
```

Output
Energy relative to the elements, uncorrected: -145 kJ per mole of atoms
Magnetic moment: 0.0 μB/f.u.
SG: Cmc2_1, No. 36
E_tot: -5.61 eV per atom

***

# 4
The following is a DFT calculation (PBE-GGA) of a geometry-optimized CoRu2 structure.

Cell and atoms, written as extended XYZ:
```
3
Lattice="5.803 0.001 0.000 4.591 3.549 0.000 -5.197 -1.775 1.874" Properties=species:S:1:pos:R:3 pbc="T T T"
Ru 6.895 2.355 0.000
Ru 3.499 1.195 0.000
Co 0.000 0.000 0.000
```

Output
Magnetic moment: 0.5 μB/f.u.
SG: I4/mmm, No. 139
E_tot: -8.39 eV per atom
ΔE_f: 160 meV per atom

***

Number 1: calculated density 8.3 g/cm³. Number 2: calculated density 4.3 g/cm³. Number 3: calculated density 4.9 g/cm³. Number 4: calculated density 11.2 g/cm³.